Entry 1:
Ac8DyY2 | PBE | optimized geometry

abc: 19.6389 5.5368 8.6673
angles: 90.00 105.47 90.00
Closest atoms and distances in Å follow each position.
Space group C2/m (No. 12)
Inequivalent atoms, fractional coordinates:
Ac1 0.0470 0.0000 0.2301 [4 per cell]  1 Y 3.83, 9 Ac 3.87-3.94, 2 Dy 3.89
Ac2 0.0939 0.5000 0.9527 [4 per cell]  3 Y 3.80-3.83, 8 Ac 3.83-3.98, 1 Dy 3.86
Ac3 0.1382 0.0000 0.6895 [4 per cell]  3 Y 3.76-3.87, 7 Ac 3.83-3.91, 2 Dy 3.92
Ac4 0.1815 0.5000 0.4150 [4 per cell]  1 Dy 3.83, 3 Y 3.86-3.95, 8 Ac 3.87-3.92
Dy1 0.0000 0.5000 0.5000 [2 per cell]  12 Ac 3.83-3.92
Y1 0.2262 0.0000 0.1322 [4 per cell]  10 Ac 3.76-3.95, 2 Y 3.86

Properties
* formation energy from the elements: 47 meV/atom
* total energy: -99.753 eV per cell

=====

Entry 2:
Cs2PtPb3 | PBE | optimized geometry

abc: 14.9155 9.0919 7.7620
angles: 90.00 90.08 90.00
Closest atoms and distances in Å follow each position.
Space group C2/c (No. 15)
Inequivalent atoms, fractional coordinates:
Cs1 0.1582 0.1119 0.2493 [8 per cell]  1 Pt 3.54
Pt1 0.0000 0.4015 0.2500 [4 per cell]  5 Pb 2.77-3.02
Pb1 0.0000 0.2665 0.7500 [4 per cell]  1 Pt 3.02, 4 Pb 3.37
Pb2 0.1182 0.5001 0.0003 [8 per cell]  2 Pt 2.77

Properties
* formation energy from the elements: -173 meV/atom
* total energy: -79.636 eV per cell

=====

Entry 3:
La12NdEr7 | PBE | optimized geometry

abc: 12.4676 12.4676 15.4702
angles: 90.00 90.00 120.00
Closest atoms and distances in Å follow each position.
Space group R-3 (No. 148, hexagonal axes)
Inequivalent atoms, fractional coordinates:
La1 0.0117 0.4373 0.2204 [18 per cell]  3 La 3.21-3.38
La2 0.0654 0.5968 0.5790 [18 per cell]  4 La 3.21-3.38, 1 Er 3.29
Nd1 0.0000 0.0000 0.5000 [3 per cell]  6 Er 3.62, 6 La 3.67
Er1 0.0000 0.0000 0.0000 [3 per cell]  6 La 3.29
Er2 0.0503 0.1833 0.3072 [18 per cell]  3 Er 3.50-3.54, 1 Nd 3.62, 6 La 3.69-3.80

Properties
* formation energy from the elements: 192 meV/atom
* total energy: -275.969 eV per cell

=====

> The highest total energy belongs to which entry?

Cs2PtPb3